# 1
The following is a PBE-GGA calculation of crystalline ErZnCoSn at its relaxed geometry, from Alexandria via LeMat-Bulk.

a b c (Å): 6.5730 6.5730 6.5730
angles (deg): 90.00 90.00 90.00
Space group F-43m (No. 216)
Symmetry-distinct sites (fractional):
1 Er 0.0000 0.0000 0.0000 (multiplicity 4)
2 Zn 0.2500 0.2500 0.7500 (multiplicity 4)
3 Co 0.2500 0.2500 0.2500 (multiplicity 4)
4 Sn 0.0000 0.0000 0.5000 (multiplicity 4)

Values from the calculation:
Spin magnetization in μB per cell: 1.04
Energy relative to the elements in eV per atom: -0.213


# 2
The following is a PBE-GGA calculation of crystalline SrEr2Co at its relaxed geometry, from Alexandria via LeMat-Bulk.

a b c (Å): 3.4195 3.4195 9.7181
angles (deg): 90.00 90.00 90.00
Space group P4/mmm (No. 123)
Symmetry-distinct sites (fractional):
1 Sr 0.0000 0.0000 0.0000 (multiplicity 1)
2 Er 0.5000 0.5000 0.3387 (multiplicity 2)
3 Co 0.0000 0.0000 0.5000 (multiplicity 1)

Values from the calculation:
Spin magnetization in μB per cell: 0.45
Distance to the lowest polymorph of the same formula in eV/atom: 0.000
Energy relative to the elements in eV per atom: -0.004


# 3
The following is a PBE-GGA calculation of crystalline SrEr3Co at its relaxed geometry, from Alexandria via LeMat-Bulk.

a b c (Å): 5.3385 5.3385 5.3385
angles (deg): 90.00 90.00 90.00
Space group Pm-3m (No. 221)
Symmetry-distinct sites (fractional):
1 Sr 0.0000 0.0000 0.0000 (multiplicity 1)
2 Er 0.0000 0.5000 0.5000 (multiplicity 3)
3 Co 0.5000 0.5000 0.5000 (multiplicity 1)

Values from the calculation:
Spin magnetization in μB per cell: 0.00
Energy relative to the elements in eV per atom: -0.042